NaNd3Tl3 PBE optimized geometry; ΔH_f (0 K) = -0.184 eV/atom; E_tot = -3.430 eV/atom
1.0
4.119 -6.135 0.000
4.119 6.135 0.000
-0.565 0.000 8.705
Na Nd Tl
2 6 6
Direct
0.189 0.189 0.026 Na
0.811 0.811 0.974 Na
0.167 0.167 0.415 Nd
0.291 0.709 0.000 Nd
0.302 0.698 0.500 Nd
0.698 0.302 0.500 Nd
0.709 0.291 0.000 Nd
0.833 0.833 0.585 Nd
0.033 0.335 0.743 Tl
0.335 0.033 0.743 Tl
0.487 0.487 0.756 Tl
0.513 0.513 0.244 Tl
0.665 0.967 0.257 Tl
0.967 0.665 0.257 Tl